BiPIrSN | PBE | relaxed

It has space group R3m (No. 160, hexagonal axes), with a = 3.8569 Å, b = 3.8569 Å, c = 22.5533 Å, α = 90.00°, β = 90.00° and γ = 120.00°. Symmetry generates all atoms from Bi at (0.0000, 0.0000, 0.0000), P at (0.0000, 0.0000, 0.8842), Ir at (0.0000, 0.0000, 0.1887), S at (0.0000, 0.0000, 0.4667) and N at (0.0000, 0.0000, 0.2910).

The value obtained for the total energy is -87.36 eV for the cell shown. Its crystal system is trigonal. The value obtained for the energy relative to the elements, uncorrected is 297 meV/atom. The size of the total moment is 0.00 μB/f.u. The value obtained for the offset from the most stable computed form is 451 meV/atom.